First-principles (GGA-PBE) data for a geometry-optimized YCdInCo structure, as listed in the Open Quantum Materials Database.

Total energy   -4.35 eV/atom
Size of the total moment   0.0 μB/f.u.
Mass density   7.9 g cm⁻³

POSCAR file:
```
YCdInCo
1.0
6.813 0.000 0.000
0.000 6.813 0.000
0.000 0.000 6.813
Y Cd In Co
4 4 4 4
Direct
0.000 0.000 0.000
0.000 0.500 0.500
0.500 0.000 0.500
0.500 0.500 0.000
0.250 0.250 0.250
0.250 0.750 0.750
0.750 0.250 0.750
0.750 0.750 0.250
0.000 0.000 0.500
0.000 0.500 0.000
0.500 0.000 0.000
0.500 0.500 0.500
0.250 0.250 0.750
0.250 0.750 0.250
0.750 0.250 0.250
0.750 0.750 0.750
```



First-principles (GGA-PBE) data for a geometry-optimized KCuSiS3 structure, as listed in the Open Quantum Materials Database.

Total energy   -4.39 eV/atom
Mass density   3.1 g cm⁻³

POSCAR file:
```
KCuSiS3
1.0
8.183 0.000 0.000
0.000 3.581 0.000
-3.243 0.000 8.242
K Cu Si S
2 2 2 6
Direct
0.230 0.250 0.276
0.770 0.750 0.724
0.059 0.250 0.595
0.941 0.750 0.405
0.331 0.750 0.857
0.669 0.250 0.143
0.144 0.250 0.871
0.243 0.750 0.581
0.465 0.750 0.134
0.535 0.250 0.866
0.757 0.250 0.419
0.856 0.750 0.129
```



First-principles (GGA-PBE) data for a geometry-optimized SmErZnCo2 structure, as listed in the Open Quantum Materials Database.

Total energy   -5.22 eV/atom
Size of the total moment   0.0 μB/f.u.
Mass density   9.1 g cm⁻³
E_form   -269 meV per atom

POSCAR file:
```
SmErZnCo2
1.0
4.094 0.000 0.000
0.000 5.459 0.000
0.000 0.000 8.213
Sm Er Zn Co
2 2 2 4
Direct
0.000 0.000 0.000
0.500 0.500 0.500
0.000 0.000 0.582
0.500 0.500 0.082
0.000 0.500 0.793
0.500 0.000 0.293
0.000 0.290 0.288
0.000 0.710 0.288
0.500 0.210 0.788
0.500 0.790 0.788
```



First-principles (GGA-PBE) data for a geometry-optimized InCuTc2 structure, as listed in the Open Quantum Materials Database.

Total energy   -6.52 eV/atom
Size of the total moment   0.0 μB/f.u.
Mass density   10.1 g cm⁻³

POSCAR file:
```
InCuTc2
1.0
6.258 0.000 0.000
0.000 6.258 0.000
0.000 0.000 6.258
In Cu Tc
4 4 8
Direct
0.000 0.000 0.000
0.000 0.500 0.500
0.500 0.000 0.500
0.500 0.500 0.000
0.250 0.250 0.750
0.250 0.750 0.250
0.750 0.250 0.250
0.750 0.750 0.750
0.000 0.000 0.500
0.000 0.500 0.000
0.250 0.250 0.250
0.250 0.750 0.750
0.500 0.000 0.000
0.500 0.500 0.500
0.750 0.250 0.750
0.750 0.750 0.250
```



First-principles (GGA-PBE) data for a geometry-optimized ZnFeReAu structure, as listed in the Open Quantum Materials Database.

Total energy   -5.82 eV/atom
Size of the total moment   2.5 μB/f.u.
Mass density   14.1 g cm⁻³
E_form   492 meV per atom

POSCAR file:
```
ZnFeReAu
1.0
6.189 0.000 0.000
0.000 6.189 0.000
0.000 0.000 6.189
Zn Fe Re Au
4 4 4 4
Direct
0.000 0.000 0.000
0.000 0.500 0.500
0.500 0.000 0.500
0.500 0.500 0.000
0.250 0.250 0.250
0.250 0.750 0.750
0.750 0.250 0.750
0.750 0.750 0.250
0.000 0.000 0.500
0.000 0.500 0.000
0.500 0.000 0.000
0.500 0.500 0.500
0.250 0.250 0.750
0.250 0.750 0.250
0.750 0.250 0.250
0.750 0.750 0.750
```



First-principles (GGA-PBE) data for a geometry-optimized KOs2O4 structure, as listed in the Open Quantum Materials Database.

Total energy   -6.91 eV/atom
Size of the total moment   3.0 μB/f.u.
Mass density   8.3 g cm⁻³

POSCAR file:
```
KOs2O4
1.0
0.000 4.594 4.594
4.594 0.000 4.594
4.594 4.594 0.000
K Os O
2 4 8
Direct
0.125 0.125 0.125
0.875 0.875 0.875
0.000 0.500 0.500
0.500 0.000 0.500
0.500 0.500 0.000
0.500 0.500 0.500
0.278 0.278 0.278
0.278 0.278 0.666
0.278 0.666 0.278
0.334 0.722 0.722
0.666 0.278 0.278
0.722 0.334 0.722
0.722 0.722 0.334
0.722 0.722 0.722
```



First-principles (GGA-PBE) data for a geometry-optimized TbY2Mo2 structure, as listed in the Open Quantum Materials Database.

Total energy   -7.09 eV/atom
Size of the total moment   0.0 μB/f.u.
Mass density   7.5 g cm⁻³
E_form   757 meV per atom

POSCAR file:
```
TbY2Mo2
1.0
4.109 0.000 0.000
0.000 4.109 0.000
0.000 0.000 13.934
Tb Y Mo
2 4 4
Direct
0.000 0.000 0.000
0.500 0.500 0.500
0.000 0.000 0.393
0.000 0.000 0.607
0.500 0.500 0.107
0.500 0.500 0.893
0.000 0.500 0.250
0.000 0.500 0.750
0.500 0.000 0.250
0.500 0.000 0.750
```



First-principles (GGA-PBE) data for a geometry-optimized SmTlCoSe3 structure, as listed in the Open Quantum Materials Database.

Total energy   -5.00 eV/atom
Size of the total moment   3.0 μB/f.u.
Mass density   6.5 g cm⁻³

POSCAR file:
```
SmTlCoSe3
1.0
2.056 -7.372 0.000
2.056 7.372 0.000
0.000 0.000 11.009
Sm Tl Co Se
2 2 2 6
Direct
0.000 0.000 0.000
0.000 0.000 0.500
0.248 0.752 0.750
0.752 0.248 0.250
0.470 0.530 0.250
0.530 0.470 0.750
0.066 0.934 0.250
0.372 0.628 0.076
0.372 0.628 0.424
0.628 0.372 0.576
0.628 0.372 0.924
0.934 0.066 0.750
```



> Which of these has the highest total energy?

YCdInCo